Entry 1:
LaMn2Se | Alexandria via LeMat-Bulk | PBE | optimized geometry; formation energy without anion corrections = -0.19 eV/f.u.; space-group type = No. 47; density of states at the Fermi level = 3.80 states/eV/cell
1.0
3.604 0.000 0.000
0.000 4.814 0.000
0.000 0.000 4.914
La Mn Se
1 2 1
Direct
0.000 0.000 0.000 La
0.000 0.500 0.500 Mn
0.500 0.000 0.500 Mn
0.500 0.500 0.000 Se

---

Entry 2:
Ca2LaBeO5 | Alexandria via LeMat-Bulk | PBE | optimized geometry; formation energy without anion corrections = -25.19 eV/f.u.; space-group type = No. 62; density of states at the Fermi level = 22.11 states/eV/cell
1.0
9.432 0.000 0.000
0.000 7.309 0.000
0.000 0.000 6.534
Ca La Be O
8 4 4 20
Direct
0.173 0.029 0.082 Ca
0.173 0.471 0.082 Ca
0.327 0.529 0.582 Ca
0.327 0.971 0.582 Ca
0.673 0.029 0.418 Ca
0.673 0.471 0.418 Ca
0.827 0.529 0.918 Ca
0.827 0.971 0.918 Ca
0.028 0.250 0.600 La
0.472 0.750 0.100 La
0.528 0.250 0.900 La
0.972 0.750 0.400 La
0.106 0.750 0.811 Be
0.394 0.250 0.311 Be
0.606 0.750 0.689 Be
0.894 0.250 0.189 Be
0.013 0.750 0.024 O
0.071 0.562 0.689 O
0.071 0.938 0.689 O
0.223 0.250 0.360 O
0.232 0.750 0.331 O
0.268 0.250 0.831 O
0.277 0.750 0.860 O
0.429 0.062 0.189 O
0.429 0.438 0.189 O
0.487 0.250 0.524 O
0.513 0.750 0.476 O
0.571 0.562 0.811 O
0.571 0.938 0.811 O
0.723 0.250 0.140 O
0.732 0.750 0.169 O
0.768 0.250 0.669 O
0.777 0.750 0.640 O
0.929 0.062 0.311 O
0.929 0.438 0.311 O
0.987 0.250 0.976 O

---

Entry 3:
La3ScHg12 | Alexandria via LeMat-Bulk | PBE | optimized geometry; energy relative to the elements = -0.327 eV per atom; space-group type = No. 123; density of states at the Fermi level = 16.66 states/eV/cell
1.0
4.753 0.000 0.000
0.000 4.753 0.000
0.000 0.000 18.476
La Sc Hg
3 1 12
Direct
0.000 0.000 0.000 La
0.000 0.000 0.263 La
0.000 0.000 0.737 La
0.000 0.000 0.500 Sc
0.000 0.500 0.131 Hg
0.000 0.500 0.389 Hg
0.000 0.500 0.611 Hg
0.000 0.500 0.869 Hg
0.500 0.000 0.131 Hg
0.500 0.000 0.389 Hg
0.500 0.000 0.611 Hg
0.500 0.000 0.869 Hg
0.500 0.500 0.000 Hg
0.500 0.500 0.264 Hg
0.500 0.500 0.500 Hg
0.500 0.500 0.736 Hg

---

Entry 4:
PtPb2Br | Alexandria via LeMat-Bulk | PBE | optimized geometry; formation energy without anion corrections = -0.79 eV/f.u.; space-group type = No. 6; density of states at the Fermi level = 0.93 states/eV/cell
1.0
3.818 0.000 0.000
0.000 5.629 0.000
-1.229 0.000 5.425
Pt Pb Br
1 2 1
Direct
0.000 0.000 0.000 Pt
0.007 0.500 0.976 Pb
0.628 0.000 0.367 Pb
0.369 0.500 0.515 Br

---

Sequential total moment output: 1.842; 0.110; 0.000; 0.000 μB per atom